A relaxed structure of AlIn4Hg, computed with GGA-PBE.

Values from the calculation:
**VASP energy**: -2.2494 eV/atom
**Energy relative to the elements**: 0.250 eV per atom
**Symmetry**: No. 216

abc: 6.1623 6.1623 6.1623
angles: 60.00 60.00 60.00
Last column: nearest neighbours and their distance in Å.
Fractional positions:
1 Al 0.0000 0.0000 0.0000  12 In 3.61, 4 Hg 3.77
2 In 0.3750 0.3750 0.3750  6 In 3.08
3 In 0.3750 0.3750 0.8749  6 In 3.08
4 In 0.3750 0.8749 0.3750  6 In 3.08
5 In 0.8749 0.3750 0.3750  6 In 3.08
6 Hg 0.7500 0.7500 0.7500  12 In 3.61, 4 Al 3.77